# 1
Here is a relaxed LiH2I2 crystal from Alexandria. Energies are from GGA-PBE.

```
data_LiH2I2
_chemical_formula_sum 'Li2 H4 I4'
_cell_length_a 8.025
_cell_length_b 8.025
_cell_length_c 4.104
_cell_angle_alpha 90.00
_cell_angle_beta 90.00
_cell_angle_gamma 90.00
_space_group_name_H-M_alt 'P 4/m b m'
_space_group_IT_number 127
_space_group_name_Hall '-P 4 2ab'
loop_
_atom_site_label
_atom_site_fract_x
_atom_site_fract_y
_atom_site_fract_z
_atom_site_occupancy
Li1 0.000 0.000 0.000 1
H1 0.191 0.309 0.500 1
I1 0.190 0.310 0.000 1
```

---

# 2
Here is a relaxed Li4HI2 crystal from Alexandria. Energies are from GGA-PBE.

```
data_Li4HI2
_chemical_formula_sum 'Li8 H2 I4'
_cell_length_a 4.048
_cell_length_b 4.048
_cell_length_c 20.239
_cell_angle_alpha 90.00
_cell_angle_beta 90.00
_cell_angle_gamma 90.00
_space_group_name_H-M_alt 'I 4/m m m'
_space_group_IT_number 139
_space_group_name_Hall '-I 4 2'
loop_
_atom_site_label
_atom_site_fract_x
_atom_site_fract_y
_atom_site_fract_z
_atom_site_occupancy
Li1 0.000 0.000 0.192 1
Li2 0.000 0.500 0.000 1
H1 0.000 0.000 0.000 1
I1 0.000 0.000 0.334 1
```

---

Quick rundown of VASP energy, same order as above: -12.05; -18.33 eV per formula unit